1.
DFT (PBE) results for an optimized crystal structure of Ti6HCO.

calculated total energy: -8.12 eV/atom

CIF file:
```
data_Ti6HCO
_chemical_formula_sum 'Ti12 H2 C2 O2'
_space_group_name_H-M_alt 'P 42 n m'
_space_group_IT_number 102
_space_group_name_Hall 'P 4n -2n'
_cell_length_a 4.975
_cell_length_b 4.975
_cell_length_c 9.255
_cell_angle_alpha 90.00
_cell_angle_beta 90.00
_cell_angle_gamma 90.00
loop_
_atom_site_label
_atom_site_type_symbol
_atom_site_fract_x
_atom_site_fract_y
_atom_site_fract_z
_atom_site_occupancy
Ti1 Ti 0.206 0.206 0.000 1
Ti2 Ti 0.207 0.207 0.651 1
Ti3 Ti 0.208 0.208 0.324 1
H1 H 0.000 0.000 0.823 1
C1 C 0.000 0.000 0.163 1
O1 O 0.000 0.000 0.487 1
```

=====

2.
DFT (PBE) results for an optimized crystal structure of Ti4HC2O.

calculated total energy: -8.54 eV/atom

CIF file:
```
data_Ti4HC2O
_chemical_formula_sum 'Ti4 H1 C2 O1'
_space_group_name_H-M_alt 'P 1 2/m 1'
_space_group_IT_number 10
_space_group_name_Hall '-P 2y'
_cell_length_a 5.201
_cell_length_b 3.061
_cell_length_c 5.326
_cell_angle_alpha 90.00
_cell_angle_beta 109.54
_cell_angle_gamma 90.00
loop_
_atom_site_label
_atom_site_type_symbol
_atom_site_fract_x
_atom_site_fract_y
_atom_site_fract_z
_atom_site_occupancy
Ti1 Ti 0.231 0.000 0.246 1
Ti2 Ti 0.239 0.500 0.738 1
H1 H 0.500 0.000 0.000 1
C1 C 0.000 0.000 0.500 1
C2 C 0.000 0.500 0.000 1
O1 O 0.500 0.500 0.500 1
```

=====

3.
DFT (PBE) results for an optimized crystal structure of TiH3CO5.

calculated total energy: -6.84 eV/atom

CIF file:
```
data_TiH3CO5
_chemical_formula_sum 'Ti16 H48 C16 O80'
_space_group_name_H-M_alt 'C m c e'
_space_group_IT_number 64
_space_group_name_Hall '-C 2ac 2'
_cell_length_a 15.911
_cell_length_b 10.988
_cell_length_c 9.471
_cell_angle_alpha 90.00
_cell_angle_beta 90.00
_cell_angle_gamma 90.00
loop_
_atom_site_label
_atom_site_type_symbol
_atom_site_fract_x
_atom_site_fract_y
_atom_site_fract_z
_atom_site_occupancy
Ti1 Ti 0.184 0.143 0.099 1
H1 H 0.081 0.041 0.429 1
H2 H 0.109 0.179 0.785 1
H3 H 0.140 0.116 0.637 1
C1 C 0.000 0.105 0.167 1
C2 C 0.000 0.160 0.017 1
O1 O 0.071 0.083 0.222 1
O2 O 0.071 0.180 0.962 1
O3 O 0.116 0.000 0.500 1
O4 O 0.136 0.192 0.692 1
O5 O 0.190 0.000 0.000 1
O6 O 0.250 0.107 0.250 1
O7 O 0.250 0.250 0.000 1
```

=====

4.
DFT (PBE) results for an optimized crystal structure of Tl2HC2O6.

calculated total energy: -5.92 eV/atom

CIF file:
```
data_Tl2HC2O6
_chemical_formula_sum 'Tl4 H2 C4 O12'
_space_group_name_H-M_alt 'C 1 2/m 1'
_space_group_IT_number 12
_space_group_name_Hall '-C 2y'
_cell_length_a 10.863
_cell_length_b 4.753
_cell_length_c 6.669
_cell_angle_alpha 90.00
_cell_angle_beta 123.48
_cell_angle_gamma 90.00
loop_
_atom_site_label
_atom_site_type_symbol
_atom_site_fract_x
_atom_site_fract_y
_atom_site_fract_z
_atom_site_occupancy
Tl1 Tl 0.175 0.000 0.185 1
H1 H 0.000 0.000 0.500 1
C1 C 0.016 0.500 0.717 1
O1 O 0.083 0.264 0.735 1
O2 O 0.113 0.500 0.314 1
```

=====

5.
DFT (PBE) results for an optimized crystal structure of TlHC2O4.

calculated total energy: -6.55 eV/atom

CIF file:
```
data_TlHC2O4
_chemical_formula_sum 'Tl4 H4 C8 O16'
_space_group_name_H-M_alt 'P 1 21/c 1'
_space_group_IT_number 14
_space_group_name_Hall '-P 2ybc'
_cell_length_a 10.401
_cell_length_b 6.780
_cell_length_c 6.534
_cell_angle_alpha 90.00
_cell_angle_beta 94.88
_cell_angle_gamma 90.00
loop_
_atom_site_label
_atom_site_type_symbol
_atom_site_fract_x
_atom_site_fract_y
_atom_site_fract_z
_atom_site_occupancy
Tl1 Tl 0.209 0.039 0.434 1
H1 H 0.293 0.540 0.438 1
C1 C 0.058 0.518 0.432 1
C2 C 0.485 0.581 0.418 1
O1 O 0.036 0.599 0.260 1
O2 O 0.169 0.040 0.012 1
O3 O 0.363 0.623 0.369 1
O4 O 0.427 0.167 0.162 1
```

=====

6.
DFT (PBE) results for an optimized crystal structure of TmH3C3O6.

calculated total energy: -6.97 eV/atom

CIF file:
```
data_TmH3C3O6
_chemical_formula_sum 'Tm3 H9 C9 O18'
_space_group_name_H-M_alt 'R 3 m'
_space_group_IT_number 160
_space_group_name_Hall 'R 3 -2"'
_cell_length_a 10.3858
_cell_length_b 10.3858
_cell_length_c 3.9450
_cell_angle_alpha 90.00
_cell_angle_beta 90.00
_cell_angle_gamma 120.00
loop_
_atom_site_label
_atom_site_type_symbol
_atom_site_fract_x
_atom_site_fract_y
_atom_site_fract_z
_atom_site_occupancy
Tm1 Tm 0.0000 0.0000 0.0000 1
H1 H 0.1719 0.3439 0.1889 1
C1 C 0.0252 0.5126 0.1226 1
O1 O 0.0839 0.1677 0.5096 1
O2 O 0.2031 0.4061 0.6860 1
```

=====

7.
DFT (PBE) results for an optimized crystal structure of UH3CO6.

calculated total energy: -7.27 eV/atom

CIF file:
```
data_UH3CO6
_chemical_formula_sum 'U2 H6 C2 O12'
_space_group_name_H-M_alt 'P -1'
_space_group_IT_number 2
_space_group_name_Hall '-P 1'
_cell_length_a 5.603
_cell_length_b 6.251
_cell_length_c 7.823
_cell_angle_alpha 85.23
_cell_angle_beta 89.68
_cell_angle_gamma 81.36
loop_
_atom_site_label
_atom_site_type_symbol
_atom_site_fract_x
_atom_site_fract_y
_atom_site_fract_z
_atom_site_occupancy
U1 U 0.133 0.154 0.299 1
H1 H 0.044 0.641 0.320 1
H2 H 0.130 0.396 0.841 1
H3 H 0.297 0.758 0.498 1
C1 C 0.469 0.110 0.949 1
O1 O 0.011 0.469 0.752 1
O2 O 0.119 0.903 0.824 1
O3 O 0.127 0.807 0.463 1
O4 O 0.311 0.249 0.013 1
O5 O 0.377 0.230 0.421 1
O6 O 0.421 0.863 0.190 1
```

=====

| no. | total magnetization (μB per cell) | V (Å³ per atom) |
| --- | --- | --- |
| 1 | 0.000 | 12.72 |
| 2 | 0.000 | 9.99 |
| 3 | 0.000 | 10.35 |
| 4 | 0.000 | 13.05 |
| 5 | 0.000 | 14.35 |
| 6 | 0.000 | 9.45 |
| 7 | 0.000 | 12.27 |